[1]
Computed, not measured: a relaxed KFeGeTe3 crystal at the PBE-GGA level of DFT.

Cell: 9.043 3.778 11.574 Å, 90.00 108.20 90.00°
Space group P2_1/m (No. 11)
Unique sites:
K1 0.060 0.250 0.272 x2
Fe1 0.490 0.750 0.901 x2
Ge1 0.428 0.250 0.558 x2
Te1 0.210 0.750 0.552 x2
Te2 0.282 0.250 0.896 x2
Te3 0.381 0.750 0.206 x2

Output
Crystal system: monoclinic
E, eV/atom: -4.17



[2]
Computed, not measured: a relaxed Ta4GeSN2 crystal at the PBE-GGA level of DFT.

Cell: 3.0718 3.0718 13.1293 Å, 90.00 90.00 120.00°
Space group P-6m2 (No. 187)
Unique sites:
Ta1 0.0000 0.0000 0.1376 x2
Ta2 0.6667 0.3333 0.3404 x2
Ge1 0.0000 0.0000 0.5000 x1
S1 0.6667 0.3333 0.0000 x1
N1 0.3333 0.6667 0.2412 x2

Output
Crystal system: hexagonal
E, eV/atom: -9.69



[3]
Computed, not measured: a relaxed NaUCo crystal at the PBE-GGA level of DFT.

Cell: 6.384 6.384 6.384 Å, 90.00 90.00 90.00°
Space group F-43m (No. 216)
Unique sites:
Na1 0.000 0.000 0.000 x4
U1 0.250 0.250 0.250 x4
Co1 0.250 0.250 0.750 x4

Output
Crystal system: cubic
E, eV/atom: -4.99



[4]
Computed, not measured: a relaxed NdGaNO crystal at the PBE-GGA level of DFT.

Cell: 3.841 5.352 5.656 Å, 90.00 90.00 90.00°
Space group Pmc2_1 (No. 26)
Unique sites:
Nd1 0.000 0.222 0.000 x2
Ga1 0.500 0.250 0.521 x2
N1 0.500 0.045 0.239 x2
O1 0.000 0.348 0.574 x2

Output
Crystal system: orthorhombic
E, eV/atom: -6.63



[5]
Computed, not measured: a relaxed AlMoOsAu crystal at the PBE-GGA level of DFT.

Cell: 6.275 6.275 6.275 Å, 90.00 90.00 90.00°
Space group F-43m (No. 216)
Unique sites:
Al1 0.000 0.000 0.000 x4
Mo1 0.250 0.250 0.250 x4
Os1 0.250 0.250 0.750 x4
Au1 0.000 0.000 0.500 x4

Output
Crystal system: cubic
E, eV/atom: -7.01



[6]
Computed, not measured: a relaxed ScCuPd2 crystal at the PBE-GGA level of DFT.

Cell: 6.329 6.329 6.329 Å, 90.00 90.00 90.00°
Space group F-43m (No. 216)
Unique sites:
Sc1 0.000 0.000 0.000 x4
Cu1 0.250 0.250 0.250 x4
Pd1 0.000 0.000 0.500 x4
Pd2 0.250 0.250 0.750 x4

Output
ΔH_f (0 K), eV/f.u.: -2.11
Crystal system: cubic



[7]
Computed, not measured: a relaxed CoSb2 crystal at the PBE-GGA level of DFT.

Cell: 5.603 6.404 3.395 Å, 90.00 90.00 90.00°
Space group Pnnm (No. 58)
Unique sites:
Co1 0.000 0.000 0.000 x2
Sb1 0.201 0.356 0.000 x4

Output
Crystal system: orthorhombic
E, eV/atom: -5.28



[8]
Computed, not measured: a relaxed ZrAlCoCu crystal at the PBE-GGA level of DFT.

Cell: 6.153 6.153 6.153 Å, 90.00 90.00 90.00°
Space group F-43m (No. 216)
Unique sites:
Zr1 0.000 0.000 0.000 x4
Al1 0.000 0.000 0.500 x4
Co1 0.250 0.250 0.750 x4
Cu1 0.250 0.250 0.250 x4

Output
Crystal system: cubic
E, eV/atom: -6.16



Number 1: magnetization 2.94 μB per formula unit. Number 2: magnetization 0.00 μB per formula unit. Number 3: magnetization 2.58 μB per formula unit. Number 4: magnetization 0.00 μB per formula unit. Number 5: magnetization 0.01 μB per formula unit. Number 6: magnetization 0.00 μB per formula unit. Number 7: magnetization 0.00 μB per formula unit. Number 8: magnetization 0.03 μB per formula unit.